Entry 1:
The following is a GGA-PBE calculation of an optimized crystal structure of Ac2CdIn3Pd4, from Alexandria via LeMat-Bulk.

Output
* calculated formation energy: -6.37 eV per formula unit
* calculated volume: 24.21 Å³ per atom

Cell: 4.772 4.772 10.633 Å, 90.00 90.00 90.00°
Positions (direct):
Ac 0.500 0.000 0.239
Ac 0.000 0.500 0.761
Pd 0.500 0.000 0.632
Pd 0.500 0.500 0.000
Pd 0.000 0.500 0.368
Pd 0.000 0.000 0.000
Cd 0.500 0.500 0.500
In 0.000 0.500 0.118
In 0.000 0.000 0.500
In 0.500 0.000 0.882


Entry 2:
The following is a GGA-PBE calculation of an optimized crystal structure of InAgH, from Alexandria via LeMat-Bulk.

Output
* calculated volume: 16.97 Å³ per atom
* ΔE to the lowest computed polymorph: 0.00 kcal/mol of atoms

Cell: 2.994 4.455 8.772 Å, 104.54 114.91 90.69°
Positions (direct):
H 0.076 0.526 0.550
H 0.924 0.474 0.450
Ag 0.398 0.299 0.098
Ag 0.602 0.701 0.902
In 0.176 0.894 0.290
In 0.824 0.106 0.710


Entry 3:
The following is a GGA-PBE calculation of an optimized crystal structure of MnV2HOs, from Alexandria via LeMat-Bulk.

Output
* calculated volume: 21.10 Å³ per atom
* ΔE to the lowest computed polymorph: 38.60 kcal/mol of atoms

Cell: 4.644 4.892 4.644 Å, 90.00 90.00 90.00°
Positions (direct):
V 0.500 0.000 0.000
V 0.000 0.000 0.500
Mn 0.000 0.500 0.000
H 0.500 0.500 0.500
Os 0.000 0.000 0.000


Entry 4:
The following is a GGA-PBE calculation of an optimized crystal structure of Ca5PrPd6, from Alexandria via LeMat-Bulk.

Output
* calculated formation energy: -8.34 eV per formula unit
* calculated volume: 22.49 Å³ per atom

Cell: 5.017 7.172 7.907 Å, 90.00 71.50 90.00°
Positions (direct):
Ca 0.000 0.500 0.000
Ca 0.334 0.500 0.333
Ca 0.666 0.500 0.667
Ca 0.330 0.000 0.341
Ca 0.670 0.000 0.659
Pd 0.836 0.251 0.329
Pd 0.164 0.749 0.671
Pd 0.500 0.245 0.000
Pd 0.164 0.251 0.671
Pd 0.500 0.755 0.000
Pd 0.836 0.749 0.329
Pr 0.000 0.000 0.000


Entry 5:
The following is a GGA-PBE calculation of an optimized crystal structure of CsBa2CeCl8, from Alexandria via LeMat-Bulk.

Output
* calculated volume: 33.75 Å³ per atom
* E_form (uncorrected): -2.320 eV/atom

Cell: 5.298 7.421 10.302 Å, 90.01 89.99 90.00°
Positions (direct):
Cl 0.000 0.750 0.209
Cl 0.000 0.751 0.791
Cl 0.000 0.250 0.791
Cl 0.500 0.728 0.500
Cl 0.500 0.272 0.500
Cl 0.500 0.782 0.000
Cl 0.500 0.218 0.000
Cl 0.000 0.249 0.209
Ba 0.500 0.500 0.749
Ba 0.500 0.500 0.251
Ce 0.000 0.000 0.000
Cs 0.000 0.000 0.500


Entry 6:
The following is a GGA-PBE calculation of an optimized crystal structure of TlTcAs2, from Alexandria via LeMat-Bulk.

Output
* calculated formation energy: 0.02 eV per formula unit
* calculated volume: 22.15 Å³ per atom
* ΔE to the lowest computed polymorph: 2.95 kcal/mol of atoms

Cell: 3.190 4.614 6.813 Å, 70.84 78.28 70.10°
Positions (direct):
Tc 0.927 0.308 0.648
As 0.206 0.722 0.682
As 0.513 0.390 0.353
Tl 0.372 0.027 0.055


Entry 7:
The following is a GGA-PBE calculation of an optimized crystal structure of CsZrPb2C, from Alexandria via LeMat-Bulk.

Output
* calculated formation energy: 14.93 eV per formula unit
* calculated volume: 42.28 Å³ per atom

Cell: 6.272 6.272 5.374 Å, 90.00 90.00 90.00°
Positions (direct):
C 0.500 0.500 0.500
Cs 0.000 0.000 0.000
Pb 0.500 0.000 0.000
Pb 0.000 0.500 0.000
Zr 0.000 0.000 0.500


Entry 8:
The following is a GGA-PBE calculation of an optimized crystal structure of LiOs2Cl, from Alexandria via LeMat-Bulk.

Output
* calculated volume: 16.81 Å³ per atom
* E_form (uncorrected): 0.123 eV/atom
* ΔE to the lowest computed polymorph: 0.00 kcal/mol of atoms

Cell: 3.561 2.858 6.766 Å, 77.47 90.00 90.00°
Positions (direct):
Os 0.500 0.474 0.169
Os 0.000 0.059 0.004
Cl 0.000 0.259 0.615
Li 0.500 0.709 0.712